# 1
An optimized crystal structure of AlW2N. Source: OQMD, functional PBE-GGA.

abc: 5.016 5.016 14.637
angles: 100.25 100.25 60.30
Atoms (fractional coordinates):
Al (0.084, 0.916, 0.750)
Al (0.090, 0.413, 0.749)
Al (0.413, 0.090, 0.249)
Al (0.587, 0.910, 0.751)
Al (0.910, 0.587, 0.251)
Al (0.916, 0.084, 0.250)
W (0.018, 0.203, 0.087)
W (0.144, 0.308, 0.413)
W (0.203, 0.018, 0.587)
W (0.308, 0.144, 0.913)
W (0.381, 0.557, 0.163)
W (0.443, 0.619, 0.337)
W (0.557, 0.381, 0.663)
W (0.619, 0.443, 0.837)
W (0.692, 0.856, 0.087)
W (0.797, 0.982, 0.413)
W (0.856, 0.692, 0.587)
W (0.982, 0.797, 0.913)
N (0.000, 0.500, 0.000)
N (0.166, 0.667, 0.500)
N (0.333, 0.834, 0.000)
N (0.500, 0.000, 0.500)
N (0.667, 0.166, 0.000)
N (0.834, 0.333, 0.500)

Computed properties:
The spin magnetization comes out at 0.001 μB per formula unit. The value obtained for the calculated volume is 313.0 Å³ per cell. Its offset from the most stable computed form is 0.00 eV/f.u. Its space-group type is C2/c (15).

---

# 2
An optimized crystal structure of GdMgZn. Source: OQMD, functional PBE-GGA.

abc: 4.950 4.950 9.829
angles: 90.00 90.00 120.00
Atoms (fractional coordinates):
Gd (0.000, 0.000, 0.000)
Gd (0.000, 0.000, 0.373)
Gd (0.667, 0.333, 0.208)
Mg (0.333, 0.667, 0.487)
Mg (0.333, 0.667, 0.804)
Mg (0.667, 0.333, 0.585)
Zn (0.000, 0.000, 0.682)
Zn (0.333, 0.667, 0.170)
Zn (0.667, 0.333, 0.882)

Computed properties:
The spin magnetization comes out at 0.002 μB per formula unit. The final energy comes out at -2.60 eV/atom. The value obtained for the calculated volume is 208.6 Å³ per cell. Its space-group type is P3m1 (156).

---

# 3
An optimized crystal structure of MgIrNO. Source: OQMD, functional PBE-GGA.

abc: 3.613 3.613 7.023
angles: 90.00 90.00 90.00
Atoms (fractional coordinates):
Mg (0.250, 0.750, 0.000)
Mg (0.750, 0.250, 0.000)
Ir (0.250, 0.250, 0.342)
Ir (0.750, 0.750, 0.658)
N (0.250, 0.250, 0.847)
N (0.750, 0.750, 0.153)
O (0.250, 0.750, 0.500)
O (0.750, 0.250, 0.500)

Computed properties:
The spin magnetization comes out at 0.001 μB per formula unit. The value obtained for the calculated volume is 91.7 Å³ per cell. Its offset from the most stable computed form is 5.56 eV/f.u. Its space-group type is P4/nmm (129).

---

# 4
An optimized crystal structure of GdHoEr. Source: OQMD, functional PBE-GGA.

abc: 5.384 5.384 5.384
angles: 60.00 60.00 60.00
Atoms (fractional coordinates):
Gd (0.000, 0.000, 0.000)
Ho (0.500, 0.500, 0.500)
Er (0.250, 0.250, 0.250)

Computed properties:
The spin magnetization comes out at 0.009 μB per formula unit. The value obtained for the calculated volume is 110.4 Å³ per cell. The energy of formation comes out at 0.720 eV/atom. Its offset from the most stable computed form is 0.00 eV/f.u. Its space-group type is F-43m (216).

---

Repeat the second record exactly.
An optimized crystal structure of GdMgZn. Source: OQMD, functional PBE-GGA.

abc: 4.950 4.950 9.829
angles: 90.00 90.00 120.00
Atoms (fractional coordinates):
Gd (0.000, 0.000, 0.000)
Gd (0.000, 0.000, 0.373)
Gd (0.667, 0.333, 0.208)
Mg (0.333, 0.667, 0.487)
Mg (0.333, 0.667, 0.804)
Mg (0.667, 0.333, 0.585)
Zn (0.000, 0.000, 0.682)
Zn (0.333, 0.667, 0.170)
Zn (0.667, 0.333, 0.882)

Computed properties:
The spin magnetization comes out at 0.002 μB per formula unit. The final energy comes out at -2.60 eV/atom. The value obtained for the calculated volume is 208.6 Å³ per cell. Its space-group type is P3m1 (156).

---

- Among the records above, which one has the lowest calculated volume?
  MgIrNO

---

What did the third record say?
An optimized crystal structure of MgIrNO. Source: OQMD, functional PBE-GGA.

abc: 3.613 3.613 7.023
angles: 90.00 90.00 90.00
Atoms (fractional coordinates):
Mg (0.250, 0.750, 0.000)
Mg (0.750, 0.250, 0.000)
Ir (0.250, 0.250, 0.342)
Ir (0.750, 0.750, 0.658)
N (0.250, 0.250, 0.847)
N (0.750, 0.750, 0.153)
O (0.250, 0.750, 0.500)
O (0.750, 0.250, 0.500)

Computed properties:
The spin magnetization comes out at 0.001 μB per formula unit. The value obtained for the calculated volume is 91.7 Å³ per cell. Its offset from the most stable computed form is 5.56 eV/f.u. Its space-group type is P4/nmm (129).